# 1
This record from Alexandria describes a relaxed structure of Nb2Si2Os. The functional is PBE.

Computed properties:
ΔE_f (raw): -0.343 eV per atom

Cell lengths 7.073, 7.073, 5.796 Å; angles 90.00, 90.00, 145.55 degrees
Atoms (fractional coordinates):
Nb1 0.010 0.990 0.500
Nb2 0.192 0.808 0.774
Nb3 0.808 0.192 0.274
Nb4 0.990 0.010 0.000
Si1 0.180 0.820 0.270
Si2 0.431 0.569 0.243
Si3 0.569 0.431 0.743
Si4 0.820 0.180 0.770
Os1 0.391 0.609 0.641
Os2 0.609 0.391 0.141


# 2
This record from Alexandria describes a relaxed structure of NiSb2Ru. The functional is PBE.

Computed properties:
Energy relative to the lowest polymorph listed for this composition: 0.723 eV per formula unit
ΔE_f (raw): 0.131 eV per atom

Cell lengths 4.390, 4.390, 5.471 Å; angles 100.90, 100.90, 44.04 degrees
Atoms (fractional coordinates):
Ni1 0.000 0.000 0.000
Sb1 0.245 0.245 0.750
Sb2 0.755 0.755 0.250
Ru1 0.500 0.500 0.500


# 3
This record from Alexandria describes a relaxed structure of SrRuRh2O8. The functional is PBE.

Computed properties:
ΔE_f (raw): -1.006 eV per atom

Cell lengths 4.742, 6.553, 4.759 Å; angles 90.00, 92.52, 90.00 degrees
Atoms (fractional coordinates):
Sr1 0.000 0.000 0.000
Ru1 0.000 0.500 0.000
Rh1 0.500 0.255 0.500
Rh2 0.500 0.745 0.500
O1 0.208 0.293 0.204
O2 0.208 0.707 0.204
O3 0.298 0.500 0.698
O4 0.331 0.000 0.662
O5 0.669 0.000 0.338
O6 0.702 0.500 0.302
O7 0.792 0.293 0.796
O8 0.792 0.707 0.796


# 4
This record from Alexandria describes a relaxed structure of Na8Sr. The functional is PBE.

Computed properties:
E_tot: -1.3260 eV per atom

Cell lengths 8.544, 8.544, 8.544 Å; angles 95.79, 95.79, 142.95 degrees
Atoms (fractional coordinates):
Na1 0.000 0.340 0.340
Na2 0.000 0.660 0.660
Na3 0.324 0.324 0.648
Na4 0.324 0.676 0.000
Na5 0.340 0.000 0.340
Na6 0.660 0.000 0.660
Na7 0.676 0.324 0.000
Na8 0.676 0.676 0.352
Sr1 0.000 0.000 0.000


# 5
This record from Alexandria describes a relaxed structure of NbBiS. The functional is PBE.

Computed properties:
Energy relative to the lowest polymorph listed for this composition: 0.719 eV per formula unit
ΔE_f (raw): -0.288 eV per atom

Cell lengths 6.604, 5.703, 8.544 Å; angles 90.00, 122.28, 90.00 degrees
Atoms (fractional coordinates):
Nb1 0.165 0.109 0.188
Nb2 0.165 0.391 0.688
Nb3 0.835 0.609 0.312
Nb4 0.835 0.891 0.812
Bi1 0.295 0.593 0.084
Bi2 0.295 0.907 0.584
Bi3 0.705 0.093 0.416
Bi4 0.705 0.407 0.916
S1 0.200 0.107 0.915
S2 0.200 0.393 0.415
S3 0.800 0.607 0.585
S4 0.800 0.893 0.085


# 6
This record from Alexandria describes a relaxed structure of SrGaI. The functional is PBE.

Computed properties:
ΔE_f (raw): -0.607 eV per atom

Cell lengths 12.983, 3.976, 3.976 Å; angles 89.61, 90.00, 90.00 degrees
Atoms (fractional coordinates):
Sr1 0.151 0.000 0.000
Sr2 0.849 0.000 0.000
Ga1 0.000 0.500 0.500
Ga2 0.500 0.083 0.083
I1 0.321 0.484 0.484
I2 0.679 0.484 0.484


# 7
This record from Alexandria describes a relaxed structure of YNbNiOs. The functional is PBE.

Computed properties:
E_tot: -8.4823 eV per atom

Cell lengths 4.622, 4.622, 4.622 Å; angles 60.00, 60.00, 60.00 degrees
Atoms (fractional coordinates):
Y1 0.000 0.000 0.000
Nb1 0.500 0.500 0.500
Ni1 0.750 0.750 0.750
Os1 0.250 0.250 0.250


# 8
This record from Alexandria describes a relaxed structure of Y3NiSe2. The functional is PBE.

Computed properties:
ΔE_f (raw): -1.264 eV per atom

Cell lengths 7.181, 7.181, 7.181 Å; angles 148.37, 132.14, 58.51 degrees
Atoms (fractional coordinates):
Y1 0.000 0.000 0.000
Y2 0.351 0.351 0.000
Y3 0.649 0.649 0.000
Ni1 0.500 0.000 0.500
Se1 0.173 0.673 0.500
Se2 0.827 0.327 0.500


# 9
This record from Alexandria describes a relaxed structure of Er3SbSe3. The functional is PBE.

Computed properties:
ΔE_f (raw): -1.504 eV per atom

Cell lengths 8.473, 8.473, 8.473 Å; angles 57.69, 57.69, 57.69 degrees
Atoms (fractional coordinates):
Er1 0.016 0.424 0.791
Er2 0.209 0.984 0.576
Er3 0.424 0.791 0.016
Er4 0.576 0.209 0.984
Er5 0.791 0.016 0.424
Er6 0.984 0.576 0.209
Sb1 0.166 0.166 0.166
Sb2 0.834 0.834 0.834
Se1 0.131 0.667 0.372
Se2 0.333 0.628 0.869
Se3 0.372 0.131 0.667
Se4 0.628 0.869 0.333
Se5 0.667 0.372 0.131
Se6 0.869 0.333 0.628


# 10
This record from Alexandria describes a relaxed structure of Si2Ge2F. The functional is PBE.

Computed properties:
Energy relative to the lowest polymorph listed for this composition: 0.000 eV per formula unit
ΔE_f (raw): -0.210 eV per atom

Cell lengths 5.574, 5.574, 5.574 Å; angles 133.21, 133.21, 68.33 degrees
Atoms (fractional coordinates):
Si1 0.123 0.123 0.000
Si2 0.877 0.877 0.000
Ge1 0.250 0.750 0.500
Ge2 0.750 0.250 0.500
F1 0.500 0.500 0.000


# 11
This record from Alexandria describes a relaxed structure of PaAsPd. The functional is PBE.

Computed properties:
E_tot: -7.0789 eV per atom

Cell lengths 5.165, 5.165, 5.165 Å; angles 137.64, 137.64, 61.46 degrees
Atoms (fractional coordinates):
Pa1 0.000 0.000 0.000
As1 0.341 0.341 0.000
Pd1 0.664 0.664 0.000


# 12
This record from Alexandria describes a relaxed structure of YCdHg2. The functional is PBE.

Computed properties:
E_tot: -2.1514 eV per atom

Cell lengths 6.597, 6.597, 6.597 Å; angles 103.92, 103.92, 121.25 degrees
Atoms (fractional coordinates):
Y1 0.000 0.000 0.000
Y2 0.750 0.250 0.500
Cd1 0.250 0.750 0.500
Cd2 0.500 0.500 0.000
Hg1 0.141 0.625 0.016
Hg2 0.375 0.391 0.516
Hg3 0.609 0.125 0.984
Hg4 0.875 0.859 0.484


# 13
This record from Alexandria describes a relaxed structure of B2PPb. The functional is PBE.

Computed properties:
Energy relative to the lowest polymorph listed for this composition: 0.000 eV per formula unit

Cell lengths 6.028, 6.028, 6.028 Å; angles 130.37, 130.37, 72.82 degrees
Atoms (fractional coordinates):
B1 0.053 0.625 0.928
B2 0.375 0.303 0.428
B3 0.697 0.125 0.072
B4 0.875 0.947 0.572
P1 0.000 0.000 0.000
P2 0.750 0.250 0.500
Pb1 0.250 0.750 0.500
Pb2 0.500 0.500 0.000


# 14
This record from Alexandria describes a relaxed structure of Na2Te2I. The functional is PBE.

Computed properties:
Energy relative to the lowest polymorph listed for this composition: 0.511 eV per formula unit
ΔE_f (raw): -0.479 eV per atom

Cell lengths 9.982, 9.982, 3.170 Å; angles 90.00, 90.00, 90.00 degrees
Atoms (fractional coordinates):
Na1 0.172 0.328 0.000
Na2 0.328 0.828 0.000
Na3 0.672 0.172 0.000
Na4 0.828 0.672 0.000
Te1 0.119 0.619 0.500
Te2 0.381 0.119 0.500
Te3 0.619 0.881 0.500
Te4 0.881 0.381 0.500
I1 0.000 0.000 0.000
I2 0.500 0.500 0.000


# 15
This record from Alexandria describes a relaxed structure of SmZr2Ta. The functional is PBE.

Computed properties:
Energy relative to the lowest polymorph listed for this composition: 0.000 eV per formula unit

Cell lengths 3.527, 3.527, 7.757 Å; angles 90.00, 90.00, 90.00 degrees
Atoms (fractional coordinates):
Sm1 0.000 0.000 0.000
Zr1 0.500 0.500 0.296
Zr2 0.500 0.500 0.704
Ta1 0.000 0.000 0.500


# 16
This record from Alexandria describes a relaxed structure of Ac12Al2Ge5. The functional is PBE.

Computed properties:
E_tot: -4.5222 eV per atom

Cell lengths 10.080, 10.080, 10.184 Å; angles 103.54, 103.54, 45.92 degrees
Atoms (fractional coordinates):
Ac1 0.003 0.003 0.287
Ac2 0.064 0.588 0.903
Ac3 0.107 0.590 0.434
Ac4 0.410 0.893 0.566
Ac5 0.412 0.936 0.097
Ac6 0.483 0.483 0.186
Ac7 0.517 0.517 0.814
Ac8 0.588 0.064 0.903
Ac9 0.590 0.107 0.434
Ac10 0.893 0.410 0.566
Ac11 0.936 0.412 0.097
Ac12 0.997 0.997 0.713
Al1 0.166 0.834 0.000
Al2 0.834 0.166 0.000
Ge1 0.181 0.181 0.825
Ge2 0.200 0.200 0.363
Ge3 0.500 0.500 0.500
Ge4 0.800 0.800 0.637
Ge5 0.819 0.819 0.175


# 17
This record from Alexandria describes a relaxed structure of Ac2La2Pm7. The functional is PBE.

Computed properties:
Energy relative to the lowest polymorph listed for this composition: 0.479 eV per formula unit

Cell lengths 8.393, 8.393, 6.320 Å; angles 105.33, 105.33, 92.26 degrees
Atoms (fractional coordinates):
Ac1 0.234 0.234 0.085
Ac2 0.766 0.766 0.915
La1 0.227 0.773 0.000
La2 0.773 0.227 0.000
Pm1 0.000 0.000 0.500
Pm2 0.067 0.596 0.345
Pm3 0.404 0.933 0.655
Pm4 0.410 0.410 0.692
Pm5 0.590 0.590 0.308
Pm6 0.596 0.067 0.345
Pm7 0.933 0.404 0.655


# 18
This record from Alexandria describes a relaxed structure of Tl5SnSe4. The functional is PBE.

Computed properties:
Energy relative to the lowest polymorph listed for this composition: 0.238 eV per formula unit
ΔE_f (raw): -0.337 eV per atom

Cell lengths 9.503, 10.523, 7.623 Å; angles 90.00, 90.00, 90.00 degrees
Atoms (fractional coordinates):
Tl1 0.063 0.003 0.241
Tl2 0.063 0.497 0.241
Tl3 0.250 0.250 0.755
Tl4 0.437 0.003 0.241
Tl5 0.437 0.497 0.241
Tl6 0.563 0.503 0.759
Tl7 0.563 0.997 0.759
Tl8 0.750 0.750 0.245
Tl9 0.937 0.503 0.759
Tl10 0.937 0.997 0.759
Sn1 0.250 0.750 0.813
Sn2 0.750 0.250 0.187
Se1 0.009 0.750 0.009
Se2 0.250 0.531 0.624
Se3 0.250 0.969 0.624
Se4 0.491 0.750 0.009
Se5 0.509 0.250 0.991
Se6 0.750 0.031 0.376
Se7 0.750 0.469 0.376
Se8 0.991 0.250 0.991


# 19
This record from Alexandria describes a relaxed structure of TiCo2Ag. The functional is PBE.

Computed properties:
Energy relative to the lowest polymorph listed for this composition: 0.000 eV per formula unit

Cell lengths 4.236, 4.236, 4.236 Å; angles 60.00, 60.00, 60.00 degrees
Atoms (fractional coordinates):
Ti1 0.000 0.000 0.000
Co1 0.250 0.250 0.250
Co2 0.750 0.750 0.750
Ag1 0.500 0.500 0.500


# 20
This record from Alexandria describes a relaxed structure of HfZrGe. The functional is PBE.

Computed properties:
E_tot: -7.8196 eV per atom

Cell lengths 4.682, 4.682, 3.305 Å; angles 90.00, 90.00, 120.00 degrees
Atoms (fractional coordinates):
Hf1 0.000 0.000 0.000
Zr1 0.667 0.333 0.492
Ge1 0.333 0.667 0.777


Listing total magnetization for the structures above in their given order: 0.000; 0.000; 0.000; 0.000; 0.000; 0.000; 0.000; 0.001; 0.000; 0.000; 0.000; 0.000; 0.000; 0.000; 0.000; 0.000; 0.000; 0.000; 0.166; 0.000 μB per atom.